Material: YTaMo2
Method: DFT, meta-GGA SCAN
State: PBEsol geometry

Cell lengths 2.8487, 5.4053, 5.4053 Å; angles 113.64, 101.09, 101.09 degrees
Closest atoms and distances in Å follow each position.
Positions (direct):
Mo 0.0000 0.0000 0.5000  2 Y 2.80, 2 Ta 2.80, 4 Mo 2.85-2.96
Mo 0.0000 0.5000 0.0000  2 Ta 2.80, 2 Y 2.80, 4 Mo 2.85-2.96
Ta 0.5000 0.0000 0.0000  4 Mo 2.80, 2 Ta 2.85, 2 Y 2.96
Y 0.5000 0.5000 0.5000  4 Mo 2.80, 2 Y 2.85, 2 Ta 2.96

Its total magnetic moment is 0.0 μB/f.u. The calculated formation energy is 0.426 eV/atom. The calculation puts the raw total energy at -40.62 eV per atom. For the density of states at the Fermi level, the calculation gives 3.63 states/eV per cell.

Material: LaMg2Ru
Method: DFT, meta-GGA SCAN
State: PBEsol geometry

Cell lengths 3.8193, 5.2014, 5.7616 Å; angles 64.26, 70.64, 68.46 degrees
Closest atoms and distances in Å follow each position.
Positions (direct):
Mg 0.0053 0.0553 0.9342  2 Ru 2.69
Mg 0.7905 0.7523 0.6667  3 Ru 2.77-2.88, 2 Mg 3.07
Ru 0.5136 0.3681 0.6047  2 La 2.61, 5 Mg 2.69-2.88
La 0.1906 0.3243 0.2945  2 Ru 2.61

Its total magnetic moment is 0.0 μB/f.u. The calculated formation energy is -0.056 eV/atom. The calculation puts the raw total energy at -22.03 eV per atom. For the density of states at the Fermi level, the calculation gives 2.61 states/eV per cell.

Question: calculated formation energy of number 1 (YTaMo2)?
Answer: 0.426 eV/atom